The following is a DFT calculation (PBE-GGA) of a relaxed structure of Ce6Os3C.

The space group is P2_1/m (No. 11) and the conventional cell measures 10.2955, 3.7505 and 12.7451 Å, with angles of 90.00, 109.27 and 90.00 degrees. The inequivalent atoms are Ce at (0.0101, 0.2500, 0.3833), Ce at (0.0846, 0.2500, 0.9162), Ce at (0.2784, 0.7500, 0.3216), Ce at (0.3404, 0.7500, 0.8040), Ce at (0.3443, 0.7500, 0.1202), Ce at (0.4047, 0.2500, 0.5999), Os at (0.0970, 0.2500, 0.1812), Os at (0.1887, 0.7500, 0.5165), Os at (0.3933, 0.2500, 0.9675) and C at (0.4637, 0.2500, 0.2718).

The value obtained for the density of states at the Fermi level is 17.5 states/eV/f.u. The calculation puts the volume at 23.23 Å³/atom. The calculation puts the total DFT energy (no corrections) at -7.8925 eV per atom.